[1]
Compound: Sn2PdO3
Source: OQMD
Functional: PBE
Structure: optimized geometry

Its crystal system is orthorhombic. For the final energy, the calculation gives -64.1 eV/cell.

```
data_Sn2PdO3
_space_group_name_H-M_alt 'I m m m'
_space_group_IT_number 71
_space_group_name_Hall '-I 2 2'
_cell_length_a 3.370
_cell_length_b 4.101
_cell_length_c 12.612
_cell_angle_alpha 90.00
_cell_angle_beta 90.00
_cell_angle_gamma 90.00
loop_
_atom_site_label
_atom_site_fract_x
_atom_site_fract_y
_atom_site_fract_z
Sn1 0.000 0.000 0.150
Pd1 0.000 0.000 0.500
O1 0.000 0.000 0.334
O2 0.000 0.500 0.500
```

=====

[2]
Compound: DyFe2Ni2
Source: OQMD
Functional: PBE
Structure: optimized geometry

Its crystal system is tetragonal. The calculation puts the formation energy at -0.047 eV per atom.

```
data_DyFe2Ni2
_space_group_name_H-M_alt 'I 4/m m m'
_space_group_IT_number 139
_space_group_name_Hall '-I 4 2'
_cell_length_a 3.900
_cell_length_b 3.900
_cell_length_c 9.714
_cell_angle_alpha 90.00
_cell_angle_beta 90.00
_cell_angle_gamma 90.00
loop_
_atom_site_label
_atom_site_fract_x
_atom_site_fract_y
_atom_site_fract_z
Dy1 0.000 0.000 0.000
Fe1 0.000 0.000 0.384
Ni1 0.000 0.500 0.250
```

=====

[3]
Compound: ZnTc
Source: OQMD
Functional: PBE
Structure: optimized geometry

Its crystal system is orthorhombic. The calculation puts the formation energy at 0.053 eV per atom.

```
data_ZnTc
_space_group_name_H-M_alt 'P m m 2'
_space_group_IT_number 25
_space_group_name_Hall 'P 2 -2'
_cell_length_a 4.449
_cell_length_b 5.365
_cell_length_c 4.766
_cell_angle_alpha 90.00
_cell_angle_beta 90.00
_cell_angle_gamma 90.00
loop_
_atom_site_label
_atom_site_fract_x
_atom_site_fract_y
_atom_site_fract_z
Zn1 0.000 0.000 0.000
Zn2 0.000 0.258 0.492
Zn3 0.500 0.000 0.670
Tc1 0.000 0.500 0.987
Tc2 0.500 0.238 0.172
Tc3 0.500 0.500 0.661
```

=====

[4]
Compound: ScZnNiSn
Source: OQMD
Functional: PBE
Structure: optimized geometry

Its crystal system is cubic. For the final energy, the calculation gives -74.5 eV/cell.

```
data_ScZnNiSn
_space_group_name_H-M_alt 'F -4 3 m'
_space_group_IT_number 216
_space_group_name_Hall 'F -4 2 3'
_cell_length_a 6.435
_cell_length_b 6.435
_cell_length_c 6.435
_cell_angle_alpha 90.00
_cell_angle_beta 90.00
_cell_angle_gamma 90.00
loop_
_atom_site_label
_atom_site_fract_x
_atom_site_fract_y
_atom_site_fract_z
Sc1 0.000 0.000 0.000
Zn1 0.250 0.250 0.750
Ni1 0.250 0.250 0.250
Sn1 0.000 0.000 0.500
```

=====

[5]
Compound: GdTmCu2Ge4
Source: OQMD
Functional: PBE
Structure: optimized geometry

Its crystal system is orthorhombic. For the final energy, the calculation gives -78.0 eV/cell.

```
data_GdTmCu2Ge4
_space_group_name_H-M_alt 'A m m 2'
_space_group_IT_number 38
_space_group_name_Hall 'A 2 -2'
_cell_length_a 4.244
_cell_length_b 4.085
_cell_length_c 17.153
_cell_angle_alpha 90.00
_cell_angle_beta 90.00
_cell_angle_gamma 90.00
loop_
_atom_site_label
_atom_site_fract_x
_atom_site_fract_y
_atom_site_fract_z
Gd1 0.000 0.000 0.000
Tm1 0.500 0.000 0.793
Cu1 0.000 0.000 0.225
Cu2 0.500 0.000 0.569
Ge1 0.000 0.000 0.359
Ge2 0.000 0.000 0.646
Ge3 0.500 0.000 0.148
Ge4 0.500 0.000 0.433
```

=====

[6]
Compound: Gd2MgS3
Source: OQMD
Functional: PBE
Structure: optimized geometry

Its crystal system is trigonal. For the final energy, the calculation gives -34.0 eV/cell.

```
data_Gd2MgS3
_space_group_name_H-M_alt 'P -3 m 1'
_space_group_IT_number 164
_space_group_name_Hall '-P 3 2"'
_cell_length_a 3.8419
_cell_length_b 3.8419
_cell_length_c 9.6573
_cell_angle_alpha 90.00
_cell_angle_beta 90.00
_cell_angle_gamma 120.00
loop_
_atom_site_label
_atom_site_fract_x
_atom_site_fract_y
_atom_site_fract_z
Gd1 0.3333 0.6667 0.1617
Mg1 0.0000 0.0000 0.5000
S1 0.0000 0.0000 0.0000
S2 0.3333 0.6667 0.6495
```

=====

[7]
Compound: YLuAlTe3
Source: OQMD
Functional: PBE
Structure: optimized geometry

Its crystal system is orthorhombic. For the final energy, the calculation gives -117.5 eV/cell.

```
data_YLuAlTe3
_space_group_name_H-M_alt 'C m c m'
_space_group_IT_number 63
_space_group_name_Hall '-C 2c 2'
_cell_length_a 4.042
_cell_length_b 15.289
_cell_length_c 10.450
_cell_angle_alpha 90.00
_cell_angle_beta 90.00
_cell_angle_gamma 90.00
loop_
_atom_site_label
_atom_site_fract_x
_atom_site_fract_y
_atom_site_fract_z
Y1 0.000 0.000 0.000
Lu1 0.000 0.218 0.250
Al1 0.000 0.477 0.750
Te1 0.000 0.125 0.750
Te2 0.000 0.346 0.550
```

=====

[8]
Compound: HoNpIr
Source: OQMD
Functional: PBE
Structure: optimized geometry

Its crystal system is cubic. The calculation puts the formation energy at -0.253 eV per atom.

```
data_HoNpIr
_space_group_name_H-M_alt 'F -4 3 m'
_space_group_IT_number 216
_space_group_name_Hall 'F -4 2 3'
_cell_length_a 6.732
_cell_length_b 6.732
_cell_length_c 6.732
_cell_angle_alpha 90.00
_cell_angle_beta 90.00
_cell_angle_gamma 90.00
loop_
_atom_site_label
_atom_site_fract_x
_atom_site_fract_y
_atom_site_fract_z
Ho1 0.000 0.000 0.000
Np1 0.000 0.000 0.500
Ir1 0.250 0.250 0.750
```

=====

[9]
Compound: Li3Ir2O6
Source: OQMD
Functional: PBE
Structure: optimized geometry

Its crystal system is triclinic. For the final energy, the calculation gives -131.3 eV/cell.

```
data_Li3Ir2O6
_space_group_name_H-M_alt 'P 1'
_space_group_IT_number 1
_space_group_name_Hall 'P 1'
_cell_length_a 4.999
_cell_length_b 5.048
_cell_length_c 9.749
_cell_angle_alpha 96.42
_cell_angle_beta 93.33
_cell_angle_gamma 117.69
loop_
_atom_site_label
_atom_site_fract_x
_atom_site_fract_y
_atom_site_fract_z
Li1 0.000 0.000 0.000
Li2 0.044 0.441 0.246
Li3 0.335 0.047 0.239
Li4 0.428 0.458 0.458
Li5 0.492 0.837 0.696
Li6 0.862 0.560 0.694
Ir1 0.200 0.189 0.713
Ir2 0.337 0.648 0.981
Ir3 0.649 0.332 0.980
Ir4 0.757 0.109 0.456
O1 0.037 0.687 0.090
O2 0.048 0.107 0.348
O3 0.128 0.447 0.595
O4 0.300 0.953 0.860
O5 0.359 0.366 0.104
O6 0.417 0.774 0.359
O7 0.512 0.177 0.603
O8 0.584 0.571 0.831
O9 0.680 0.044 0.088
O10 0.712 0.386 0.358
O11 0.828 0.864 0.594
O12 0.968 0.286 0.864
```

=====

[10]
Compound: LuCuNiPb
Source: OQMD
Functional: PBE
Structure: optimized geometry

Its crystal system is cubic. For the final energy, the calculation gives -69.7 eV/cell.

```
data_LuCuNiPb
_space_group_name_H-M_alt 'F -4 3 m'
_space_group_IT_number 216
_space_group_name_Hall 'F -4 2 3'
_cell_length_a 6.666
_cell_length_b 6.666
_cell_length_c 6.666
_cell_angle_alpha 90.00
_cell_angle_beta 90.00
_cell_angle_gamma 90.00
loop_
_atom_site_label
_atom_site_fract_x
_atom_site_fract_y
_atom_site_fract_z
Lu1 0.000 0.000 0.000
Cu1 0.000 0.000 0.500
Ni1 0.250 0.250 0.750
Pb1 0.250 0.250 0.250
```

=====

[11]
Compound: TmLuFe2Si2
Source: OQMD
Functional: PBE
Structure: optimized geometry

Its crystal system is tetragonal. For the final energy, the calculation gives -40.4 eV/cell.

```
data_TmLuFe2Si2
_space_group_name_H-M_alt 'P 4 m m'
_space_group_IT_number 99
_space_group_name_Hall 'P 4 -2'
_cell_length_a 4.011
_cell_length_b 4.011
_cell_length_c 6.303
_cell_angle_alpha 90.00
_cell_angle_beta 90.00
_cell_angle_gamma 90.00
loop_
_atom_site_label
_atom_site_fract_x
_atom_site_fract_y
_atom_site_fract_z
Tm1 0.000 0.000 0.000
Lu1 0.500 0.500 0.369
Fe1 0.000 0.500 0.681
Si1 0.000 0.000 0.495
Si2 0.500 0.500 0.869
```

=====

[12]
Compound: AsIr9
Source: OQMD
Functional: PBE
Structure: optimized geometry

Its crystal system is tetragonal. For the final energy, the calculation gives -168.1 eV/cell.

```
data_AsIr9
_space_group_name_H-M_alt 'P 4/n m m'
_space_group_IT_number 129
_cell_length_a 2.756
_cell_length_b 2.756
_cell_length_c 44.757
_cell_angle_alpha 90.00
_cell_angle_beta 90.00
_cell_angle_gamma 90.00
loop_
_space_group_symop_operation_xyz
'x,y,z'
'-x,-y,-z'
'-y+1/2,x,z'
'y+1/2,-x,-z'
'-x+1/2,-y+1/2,z'
'x+1/2,y+1/2,-z'
'y,-x+1/2,z'
'-y,x+1/2,-z'
'x+1/2,-y,-z'
'-x+1/2,y,z'
'-y,-x,-z'
'y,x,z'
'-x,y+1/2,-z'
'x,-y+1/2,z'
'y+1/2,x+1/2,-z'
'-y+1/2,-x+1/2,z'
loop_
_atom_site_label
_atom_site_fract_x
_atom_site_fract_y
_atom_site_fract_z
As1 0.250 0.250 0.096
Ir1 0.250 0.250 0.179
Ir2 0.250 0.250 0.264
Ir3 0.250 0.250 0.350
Ir4 0.250 0.250 0.436
Ir5 0.250 0.250 0.521
Ir6 0.250 0.250 0.607
Ir7 0.250 0.250 0.693
Ir8 0.250 0.250 0.779
Ir9 0.250 0.250 0.866
```

=====

[13]
Compound: ErTaIr
Source: OQMD
Functional: PBE
Structure: optimized geometry

Its crystal system is cubic. The calculation puts the formation energy at -0.210 eV per atom.

```
data_ErTaIr
_space_group_name_H-M_alt 'F -4 3 m'
_space_group_IT_number 216
_space_group_name_Hall 'F -4 2 3'
_cell_length_a 6.446
_cell_length_b 6.446
_cell_length_c 6.446
_cell_angle_alpha 90.00
_cell_angle_beta 90.00
_cell_angle_gamma 90.00
loop_
_atom_site_label
_atom_site_fract_x
_atom_site_fract_y
_atom_site_fract_z
Er1 0.000 0.000 0.000
Ta1 0.000 0.000 0.500
Ir1 0.250 0.250 0.750
```